Here is a geometry-optimized NaBeVF6 structure from Alexandria via LeMat-Bulk. Energies are from GGA+U.

Cell: 5.040 8.541 5.006 Å, 90.00 90.50 90.00°
Space group C2 (No. 5)
Symmetry-distinct sites (fractional):
Na (0.000, 0.000, 0.000) [2 per cell]
Be (0.000, 0.330, 0.500) [2 per cell]
V (0.000, 0.667, 0.500) [2 per cell]
F (0.130, 0.483, 0.703) [4 per cell]
F (0.161, 0.188, 0.699) [4 per cell]
F (0.206, 0.819, 0.707) [4 per cell]

total energy = -5.537 eV per atom
total magnetization = 0.222 μB/atom